No. 1
Below is crystalline K2Cu2I5 at its relaxed geometry, with properties calculated at the PBE-GGA level.

```
data_K2Cu2I5
_cell_length_a 19.5921
_cell_length_b 8.5835
_cell_length_c 7.9913
_cell_angle_alpha 90.00
_cell_angle_beta 90.00
_cell_angle_gamma 90.00
_space_group_name_H-M_alt 'I m a 2'
_space_group_IT_number 46
loop_
_space_group_symop_operation_xyz
'x,y,z'
'-x,-y,z'
'-x+1/2,y,z'
'x+1/2,-y,z'
'x+1/2,y+1/2,z+1/2'
'-x+1/2,-y+1/2,z+1/2'
'-x,y+1/2,z+1/2'
'x,-y+1/2,z+1/2'
loop_
_atom_site_label
_atom_site_fract_x
_atom_site_fract_y
_atom_site_fract_z
_atom_site_occupancy
K1 0.1061 0.0397 0.0000 1
Cu1 0.0000 0.0000 0.5165 1
Cu2 0.2500 0.6012 0.9733 1
I1 0.0180 0.7371 0.7742 1
I2 0.1406 0.0587 0.5510 1
I3 0.2500 0.6401 0.6464 1
```

Properties
Formation energy without anion corrections in eV per formula unit: -6.02
Excess energy over the best structure of this formula in the dataset in eV/atom: 0.005
Density of states at the Fermi level in states/eV/f.u.: 9.24

No. 2
Below is crystalline KCuI at its relaxed geometry, with properties calculated at the PBE-GGA level.

```
data_KCuI
_cell_length_a 7.4832
_cell_length_b 7.4832
_cell_length_c 6.4978
_cell_angle_alpha 90.00
_cell_angle_beta 90.00
_cell_angle_gamma 120.00
_space_group_name_H-M_alt 'P 32 2 1'
_space_group_IT_number 154
loop_
_space_group_symop_operation_xyz
'x,y,z'
'-y,x-y,z+2/3'
'-x+y,-x,z+1/3'
'y,x,-z'
'x-y,-y,-z+1/3'
'-x,-x+y,-z+2/3'
loop_
_atom_site_label
_atom_site_fract_x
_atom_site_fract_y
_atom_site_fract_z
_atom_site_occupancy
K1 0.0000 0.3701 0.3333 1
Cu1 0.0000 0.1029 0.8333 1
I1 0.0000 0.4609 0.8333 1
```

Properties
Formation energy without anion corrections in eV per formula unit: -1.28
Density of states at the Fermi level in states/eV/f.u.: 0.54